Record 1
# Pa3W (PBE, optimized geometry)
data_Pa3W
_cell_length_a 4.264
_cell_length_b 4.264
_cell_length_c 9.966
_cell_angle_alpha 90.00
_cell_angle_beta 90.00
_cell_angle_gamma 90.00
_symmetry_space_group_name_H-M 'I 4/m m m'
_symmetry_Int_Tables_number 139
_symmetry_space_group_name_Hall '-I 4 2'
loop_
_atom_site_label
_atom_site_type_symbol
_atom_site_fract_x
_atom_site_fract_y
_atom_site_fract_z
_atom_site_occupancy
Pa1 Pa 0.000 0.000 0.000 1
Pa2 Pa 0.000 0.500 0.250 1
W1 W 0.000 0.000 0.500 1
# DOS(E_F): 15.57 states/eV/cell
# DFT total energy: -80.60 eV/cell
# offset from the most stable computed form: 0.006 eV/atom
# formation energy from the elements: 0.286 eV per atom

Record 2
# PaW4 (PBE, optimized geometry)
data_PaW4
_cell_length_a 4.792
_cell_length_b 4.792
_cell_length_c 4.792
_cell_angle_alpha 90.00
_cell_angle_beta 90.00
_cell_angle_gamma 90.00
_symmetry_space_group_name_H-M 'P m -3 m'
_symmetry_Int_Tables_number 221
_symmetry_space_group_name_Hall '-P 4 2 3'
loop_
_atom_site_label
_atom_site_type_symbol
_atom_site_fract_x
_atom_site_fract_y
_atom_site_fract_z
_atom_site_occupancy
Pa1 Pa 0.000 0.000 0.000 1
W1 W 0.000 0.000 0.500 1
W2 W 0.500 0.500 0.500 1
# DOS(E_F): 5.23 states/eV/cell
# DFT total energy: -47.61 eV/cell
# formation energy from the elements: 2.739 eV per atom

Record 3
# YPaW (PBE, optimized geometry)
data_YPaW
_cell_length_a 3.203
_cell_length_b 3.203
_cell_length_c 29.015
_cell_angle_alpha 90.00
_cell_angle_beta 90.00
_cell_angle_gamma 90.00
_symmetry_space_group_name_H-M 'I 4/m m m'
_symmetry_Int_Tables_number 139
_symmetry_space_group_name_Hall '-I 4 2'
loop_
_atom_site_label
_atom_site_type_symbol
_atom_site_fract_x
_atom_site_fract_y
_atom_site_fract_z
_atom_site_occupancy
Y1 Y 0.000 0.000 0.058 1
Pa1 Pa 0.000 0.000 0.347 1
W1 W 0.000 0.000 0.225 1
# DOS(E_F): 21.52 states/eV/cell
# DFT total energy: -112.11 eV/cell
# formation energy from the elements: 0.295 eV per atom

- Among the records above, which one has the lowest DFT total energy?
  YPaW

- What is the formula in the third record?
  YPaW